Below is Cs2Tl2I5 after structural relaxation, with properties calculated at the PBE level.

a b c (Å): 6.708 9.370 9.291
angles (deg): 114.74 90.00 110.98
Fractional positions:
Cs  0.390  0.780  0.705
Cs  0.610  0.220  0.295
Tl  0.142  0.284  0.864
Tl  0.858  0.716  0.136
I  0.351  0.703  0.110
I  0.649  0.297  0.890
I  0.143  0.285  0.525
I  0.857  0.715  0.475
I  0.000  0.000  0.000

Calculated values
The calculation puts the density of states at the Fermi level at 0.51 states/eV per atom. For the offset from the most stable computed form, the calculation gives 0.017 eV/atom. As for the formation energy from raw total energies: -0.937 eV per atom.